This record from Alexandria via LeMat-Bulk describes KYSi2 after structural relaxation. The functional is PBE.

Cell: 7.4329 7.4329 7.4329 Å, 150.52 144.00 47.19°
Atoms (fractional coordinates):
Si1 0.0369 0.0369 0.0000
K1 0.7825 0.2825 0.5000
Si2 0.1514 0.6514 0.5000
Y1 0.5292 0.5292 0.0000

Calculated values
Magnetization (μB per formula unit): 0.0
Energy above the most stable polymorph in this dataset (meV/atom): 33.1
Volume (Å³ per cell): 118
Raw formation energy (eV/f.u.): -0.9


This record from Alexandria via LeMat-Bulk describes Li2PmLu after structural relaxation. The functional is PBE.

Cell: 3.6971 3.6971 7.4854 Å, 90.00 90.00 90.00°
Atoms (fractional coordinates):
Li1 0.0000 0.0000 0.2421
Lu1 0.5000 0.5000 0.0000
Li2 0.0000 0.0000 0.7579
Pm1 0.5000 0.5000 0.5000

Calculated values
Magnetization (μB per formula unit): 0.0
Energy above the most stable polymorph in this dataset (meV/atom): 0.3
Volume (Å³ per cell): 102
Energy of formation from the pure elements (kJ/mol of formula units): 60


This record from Alexandria via LeMat-Bulk describes Li2Al after structural relaxation. The functional is PBE.

Cell: 4.6159 4.4585 5.3029 Å, 90.00 64.50 90.00°
Atoms (fractional coordinates):
Li1 0.4121 0.2500 0.1801
Al1 0.0787 0.2500 0.8460
Al2 0.9213 0.7500 0.1540
Li2 0.5879 0.7500 0.8199
Li3 0.7583 0.2500 0.4848
Li4 0.2417 0.7500 0.5152

Calculated values
Magnetization (μB per formula unit): 0.0
Volume (Å³ per cell): 99
Energy of formation from the pure elements (kJ/mol of formula units): -47


This record from Alexandria via LeMat-Bulk describes NaHfBeOs2 after structural relaxation. The functional is PBE.

Cell: 4.5302 4.4495 4.5302 Å, 90.00 90.00 90.00°
Site moments in Bohr magnetons follow the coordinates.
Atoms (fractional coordinates):
Os1 0.0000 0.0000 0.5000  0.44
Hf1 0.0000 0.5000 0.0000  -0.11
Na1 0.0000 0.0000 0.0000  0.00
Os2 0.5000 0.0000 0.0000  0.44
Be1 0.5000 0.5000 0.5000  -0.02

Calculated values
Magnetization (μB per formula unit): 0.7
Volume (Å³ per cell): 91
Energy of formation from the pure elements (kJ/mol of formula units): 1226


This record from Alexandria via LeMat-Bulk describes Th5Re2Hg2 after structural relaxation. The functional is PBE.

Cell: 7.8842 7.9688 8.9898 Å, 90.00 63.99 90.00°
Atoms (fractional coordinates):
Th1 0.7216 0.3378 0.2327
Th2 0.2784 0.6622 0.7673
Th3 0.0458 0.6622 0.2327
Th4 0.5458 0.8378 0.2327
Th5 0.5000 0.5000 0.0000
Hg1 0.7854 0.0000 0.4291
Th6 0.4542 0.1622 0.7673
Th7 0.7784 0.8378 0.7673
Th8 0.9542 0.3378 0.7673
Re1 0.6362 0.1355 0.0000
Hg2 0.7146 0.5000 0.5709
Re2 0.1362 0.3645 0.0000
Re3 0.8638 0.6355 0.0000
Hg3 0.2854 0.5000 0.4291
Th9 0.2216 0.1622 0.2327
Re4 0.3638 0.8645 0.0000
Hg4 0.2146 0.0000 0.5709
Th10 0.0000 0.0000 0.0000

Calculated values
Magnetization (μB per formula unit): 0.0
Volume (Å³ per cell): 508
Energy of formation from the pure elements (kJ/mol of formula units): -128


This record from Alexandria via LeMat-Bulk describes CoRhSe after structural relaxation. The functional is PBE.

Cell: 3.8310 3.8310 3.3753 Å, 90.00 90.00 120.00°
Atoms (fractional coordinates):
Co1 0.0000 0.0000 0.8872
Se1 0.3333 0.6667 0.7345
Rh1 0.6667 0.3333 0.3782

Calculated values
Magnetization (μB per formula unit): 0.0
Energy above the most stable polymorph in this dataset (meV/atom): 30.0
Volume (Å³ per cell): 43
Raw formation energy (eV/f.u.): 0.2


This record from Alexandria via LeMat-Bulk describes CsAg2S2 after structural relaxation. The functional is PBE.

Cell: 4.3400 4.3400 7.6253 Å, 73.47 73.47 90.00°
Atoms (fractional coordinates):
Cs1 0.0000 0.0000 0.0000
Ag1 0.7500 0.2500 0.5000
Ag2 0.2500 0.7500 0.5000
S1 0.6463 0.6463 0.7073
S2 0.3537 0.3537 0.2927

Calculated values
Magnetization (μB per formula unit): 0.0
Energy above the most stable polymorph in this dataset (meV/atom): 0.0
Volume (Å³ per cell): 131
Raw formation energy (eV/f.u.): -1.9


This record from Alexandria via LeMat-Bulk describes MgSnSeBr2 after structural relaxation. The functional is PBE.

Cell: 5.0558 5.0558 5.4312 Å, 90.00 90.00 90.00°
Atoms (fractional coordinates):
Se1 0.0000 0.0000 0.5000
Br1 0.0000 0.5000 0.0000
Mg1 0.0000 0.0000 0.0000
Br2 0.5000 0.0000 0.0000
Sn1 0.5000 0.5000 0.5000

Calculated values
Magnetization (μB per formula unit): 0.0
Energy above the most stable polymorph in this dataset (meV/atom): 0.0
Volume (Å³ per cell): 139
Raw formation energy (eV/f.u.): -3.2